Record 1
# Pr12TlGa5

An optimized crystal structure of Pr12TlGa5 (GGA-PBE, Alexandria).

Cell lengths 10.0362, 10.1159, 10.9500 Å; angles 90.00, 90.00, 90.00 degrees
Space group Immm (No. 71)
Asymmetric unit:
Pr 0.0000 0.1972 0.2352
Pr 0.2054 0.5000 0.1775
Pr 0.2251 0.3215 0.5000
Tl 0.0000 0.0000 0.5000
Ga 0.0000 0.0000 0.0000
Ga 0.0000 0.3589 0.0000
Ga 0.0000 0.5000 0.3805

Output
Calculated total energy   -4.523 eV/atom
Total magnetic moment   0.000 μB per atom
ΔE_f   -6.6 eV per formula unit

Record 2
# Pr4TlGa

An optimized crystal structure of Pr4TlGa (GGA-PBE, Alexandria).

Cell lengths 5.8630, 3.9510, 8.5901 Å; angles 90.00, 90.12, 90.00 degrees
Space group P2/m (No. 10)
Asymmetric unit:
Pr 0.0009 0.0000 0.2271
Pr 0.4990 0.5000 0.7011
Tl 0.5000 0.0000 0.0000
Ga 0.0000 0.5000 0.5000

Output
Calculated total energy   -4.188 eV/atom
Relative energy among the computed polymorphs   1.12 kcal/mol of atoms
Total magnetic moment   0.000 μB per atom
ΔE_f   -0.6 eV per formula unit

Record 3
# Pr3TlGa

An optimized crystal structure of Pr3TlGa (GGA-PBE, Alexandria).

Cell lengths 4.5040, 13.6473, 11.0074 Å; angles 90.00, 90.00, 90.00 degrees
Space group Cmcm (No. 63)
Asymmetric unit:
Pr 0.0000 0.1145 0.2500
Pr 0.0000 0.3421 0.0714
Tl 0.0000 0.0000 0.0000
Ga 0.0000 0.2289 0.7500

Output
Calculated total energy   -4.171 eV/atom
Relative energy among the computed polymorphs   2.80 kcal/mol of atoms
Total magnetic moment   0.000 μB per atom
ΔE_f   -1.1 eV per formula unit

Record 4
# Pr2TlGa2

An optimized crystal structure of Pr2TlGa2 (GGA-PBE, Alexandria).

Cell lengths 7.5632, 7.5632, 4.5718 Å; angles 90.00, 90.00, 90.00 degrees
Space group P4/mbm (No. 127)
Asymmetric unit:
Pr 0.1740 0.3260 0.0000
Tl 0.0000 0.0000 0.5000
Ga 0.1219 0.6219 0.5000

Output
Calculated total energy   -4.127 eV/atom
Relative energy among the computed polymorphs   0.26 kcal/mol of atoms
Total magnetic moment   0.000 μB per atom
ΔE_f   -2.7 eV per formula unit

Record 5
# Pr7Tl3Ga

An optimized crystal structure of Pr7Tl3Ga (GGA-PBE, Alexandria).

Cell lengths 5.9295, 9.9014, 11.9431 Å; angles 90.00, 90.00, 90.00 degrees
Space group Immm (No. 71)
Asymmetric unit:
Pr 0.0000 0.0000 0.0000
Pr 0.0000 0.1873 0.5000
Pr 0.0000 0.3327 0.2383
Tl 0.0000 0.0000 0.2665
Tl 0.0000 0.5000 0.0000
Ga 0.0000 0.5000 0.5000

Output
Calculated total energy   -4.167 eV/atom
Total magnetic moment   0.000 μB per atom
ΔE_f   -2.3 eV per formula unit

Record 6
# Pr4TlGa2

An optimized crystal structure of Pr4TlGa2 (GGA-PBE, Alexandria).

Cell lengths 5.2987, 5.2987, 25.6648 Å; angles 90.00, 90.00, 120.00 degrees
Space group R-3m (No. 166, hexagonal axes)
Asymmetric unit:
Pr 0.0000 0.0000 0.1157
Pr 0.0000 0.0000 0.3688
Tl 0.0000 0.0000 0.5000
Ga 0.0000 0.0000 0.2485

Output
Calculated total energy   -4.292 eV/atom
Relative energy among the computed polymorphs   0.00 kcal/mol of atoms
Total magnetic moment   0.000 μB per atom
ΔE_f   -2.5 eV per formula unit

Record 7
# Pr5Tl4Ga

An optimized crystal structure of Pr5Tl4Ga (GGA-PBE, Alexandria).

Cell lengths 3.8371, 3.8371, 20.0548 Å; angles 90.00, 90.00, 90.00 degrees
Space group P4/mmm (No. 123)
Asymmetric unit:
Pr 0.0000 0.0000 0.0000
Pr 0.0000 0.0000 0.2057
Pr 0.0000 0.0000 0.4103
Tl 0.5000 0.5000 0.1029
Tl 0.5000 0.5000 0.3071
Ga 0.5000 0.5000 0.5000

Output
Calculated total energy   -4.061 eV/atom
Total magnetic moment   0.000 μB per atom
ΔE_f   -4.2 eV per formula unit

Record 8
# Pr4TlGa

An optimized crystal structure of Pr4TlGa (GGA-PBE, Alexandria).

Cell lengths 5.2292, 5.2292, 7.5501 Å; angles 90.00, 90.00, 90.00 degrees
Space group P4/mmm (No. 123)
Asymmetric unit:
Pr 0.0000 0.5000 0.2347
Tl 0.0000 0.0000 0.5000
Ga 0.5000 0.5000 0.0000

Output
Calculated total energy   -4.236 eV/atom
Relative energy among the computed polymorphs   0.00 kcal/mol of atoms
Total magnetic moment   0.000 μB per atom
ΔE_f   -0.9 eV per formula unit

Record 9
# Pr4TlGa3

An optimized crystal structure of Pr4TlGa3 (GGA-PBE, Alexandria).

Cell lengths 5.3493, 5.3493, 26.1828 Å; angles 90.00, 90.00, 120.00 degrees
Space group R-3m (No. 166, hexagonal axes)
Asymmetric unit:
Pr 0.0000 0.0000 0.1203
Pr 0.0000 0.0000 0.3707
Tl 0.0000 0.0000 0.5000
Ga 0.0000 0.0000 0.0000
Ga 0.0000 0.0000 0.2470

Output
Calculated total energy   -4.313 eV/atom
Total magnetic moment   0.000 μB per atom
ΔE_f   -3.9 eV per formula unit

Record 10
# Pr3Tl2Ga

An optimized crystal structure of Pr3Tl2Ga (GGA-PBE, Alexandria).

Cell lengths 5.5251, 16.5039, 3.8069 Å; angles 90.00, 90.00, 90.00 degrees
Space group Pmmn (No. 59, origin choice 2)
Asymmetric unit:
Pr 0.2500 0.0942 0.0003
Pr 0.2500 0.7500 0.0017
Tl 0.2500 0.5771 0.5001
Ga 0.2500 0.2500 0.4999

Output
Calculated total energy   -4.117 eV/atom
Relative energy among the computed polymorphs   0.14 kcal/mol of atoms
Total magnetic moment   0.000 μB per atom
ΔE_f   -2.6 eV per formula unit

Record 11
# PrTlGa2

An optimized crystal structure of PrTlGa2 (GGA-PBE, Alexandria).

Cell lengths 7.3160, 7.3160, 7.3160 Å; angles 90.00, 90.00, 90.00 degrees
Space group Fm-3m (No. 225)
Asymmetric unit:
Pr 0.0000 0.0000 0.0000
Tl 0.0000 0.0000 0.5000
Ga 0.2500 0.2500 0.2500

Output
Calculated total energy   -3.522 eV/atom
Relative energy among the computed polymorphs   4.19 kcal/mol of atoms
Total magnetic moment   0.000 μB per atom
ΔE_f   -0.9 eV per formula unit

Record 12
# PrTlGa2

An optimized crystal structure of PrTlGa2 (GGA-PBE, Alexandria).

Cell lengths 4.6382, 4.6382, 4.4525 Å; angles 90.00, 90.00, 90.00 degrees
Space group P4/mmm (No. 123)
Asymmetric unit:
Pr 0.0000 0.0000 0.0000
Tl 0.5000 0.5000 0.0000
Ga 0.0000 0.5000 0.5000

Output
Calculated total energy   -3.704 eV/atom
Relative energy among the computed polymorphs   0.00 kcal/mol of atoms
Total magnetic moment   0.000 μB per atom
ΔE_f   -1.6 eV per formula unit

Record 13
# PrTlGa4

An optimized crystal structure of PrTlGa4 (GGA-PBE, Alexandria).

Cell lengths 8.0973, 8.0973, 8.0973 Å; angles 90.00, 90.00, 90.00 degrees
Space group F-43m (No. 216)
Asymmetric unit:
Pr 0.0000 0.0000 0.0000
Tl 0.2500 0.2500 0.2500
Ga 0.1249 0.1249 0.6249

Output
Calculated total energy   -3.434 eV/atom
Total magnetic moment   0.000 μB per atom
ΔE_f   -1.4 eV per formula unit

Record 14
# Pr4Tl3Ga

An optimized crystal structure of Pr4Tl3Ga (GGA-PBE, Alexandria).

Cell lengths 3.8402, 3.8402, 15.8916 Å; angles 90.00, 90.00, 90.00 degrees
Space group P4/mmm (No. 123)
Asymmetric unit:
Pr 0.0000 0.0000 0.1130
Pr 0.0000 0.0000 0.3711
Tl 0.5000 0.5000 0.2430
Tl 0.5000 0.5000 0.5000
Ga 0.5000 0.5000 0.0000

Output
Calculated total energy   -4.086 eV/atom
Total magnetic moment   0.000 μB per atom
ΔE_f   -3.4 eV per formula unit

Record 15
# PrTmGa2

An optimized crystal structure of PrTmGa2 (GGA-PBE, Alexandria).

Cell lengths 3.7018, 3.7018, 26.4811 Å; angles 90.00, 90.00, 120.00 degrees
Space group R-3m (No. 166, hexagonal axes)
Asymmetric unit:
Pr 0.0000 0.0000 0.0000
Tm 0.0000 0.0000 0.5000
Ga 0.0000 0.0000 0.2460

Output
Calculated total energy   -4.199 eV/atom
Relative energy among the computed polymorphs   4.98 kcal/mol of atoms
Total magnetic moment   0.000 μB per atom
ΔE_f   -1.5 eV per formula unit

Record 16
# Pr5Tm12Ga3

An optimized crystal structure of Pr5Tm12Ga3 (GGA-PBE, Alexandria).

Cell lengths 17.9379, 17.9379, 17.9379 Å; angles 90.00, 90.00, 90.00 degrees
Space group Ia-3d (No. 230)
Asymmetric unit:
Pr 0.0000 0.0000 0.0000
Pr 0.0000 0.2500 0.3750
Tm 0.0113 0.0949 0.6444
Ga 0.0000 0.2500 0.1250

Output
Calculated total energy   -3.575 eV/atom
Total magnetic moment   0.000 μB per atom
ΔE_f   15.1 eV per formula unit

Record 17
# PrTmGa2

An optimized crystal structure of PrTmGa2 (GGA-PBE, Alexandria).

Cell lengths 7.2563, 7.2563, 7.2563 Å; angles 90.00, 90.00, 90.00 degrees
Space group Fm-3m (No. 225)
Asymmetric unit:
Pr 0.0000 0.0000 0.0000
Tm 0.0000 0.0000 0.5000
Ga 0.2500 0.2500 0.2500

Output
Calculated total energy   -4.373 eV/atom
Relative energy among the computed polymorphs   0.97 kcal/mol of atoms
Total magnetic moment   0.000 μB per atom
ΔE_f   -2.2 eV per formula unit

Record 18
# Pr4TmGa2

An optimized crystal structure of Pr4TmGa2 (GGA-PBE, Alexandria).

Cell lengths 7.2336, 7.3732, 9.6153 Å; angles 90.43, 107.51, 117.75 degrees
Space group P1 (No. 1)
Asymmetric unit:
Pr 0.0000 0.0000 0.0000
Pr 0.0286 0.4912 0.4759
Pr 0.1071 0.5273 0.0337
Pr 0.2078 0.2797 0.7551
Pr 0.5502 0.9812 0.5847
Pr 0.6027 0.0230 0.1846
Pr 0.6468 0.5221 0.1161
Pr 0.7042 0.5499 0.7019
Tm 0.3458 0.3159 0.3557
Tm 0.9454 0.8955 0.4684
Ga 0.1633 0.8412 0.2805
Ga 0.1916 0.8454 0.7751
Ga 0.4940 0.7469 0.8681
Ga 0.6160 0.1782 0.8910

Output
Calculated total energy   -4.448 eV/atom
Total magnetic moment   0.000 μB per atom
ΔE_f   -1.5 eV per formula unit

Record 19
# Pr2TmGa6

An optimized crystal structure of Pr2TmGa6 (GGA-PBE, Alexandria).

Cell lengths 7.3750, 7.3750, 4.2608 Å; angles 90.00, 90.00, 120.00 degrees
Space group P6/mmm (No. 191)
Asymmetric unit:
Pr 0.3333 0.6667 0.0000
Tm 0.0000 0.0000 0.0000
Ga 0.0000 0.3313 0.5000

Output
Calculated total energy   -4.222 eV/atom
Total magnetic moment   0.000 μB per atom
ΔE_f   -5.8 eV per formula unit

Record 20
# PrTmGa2

An optimized crystal structure of PrTmGa2 (GGA-PBE, Alexandria).

Cell lengths 4.1112, 4.4027, 11.1090 Å; angles 90.00, 90.00, 90.00 degrees
Space group Amm2 (No. 38)
Asymmetric unit:
Pr 0.0000 0.0000 0.0000
Tm 0.5000 0.0000 0.7219
Ga 0.0000 0.0000 0.2800
Ga 0.5000 0.0000 0.4281

Output
Calculated total energy   -4.415 eV/atom
Relative energy among the computed polymorphs   0.00 kcal/mol of atoms
Total magnetic moment   0.000 μB per atom
ΔE_f   -2.4 eV per formula unit